DFT (PBE) results for a relaxed ZrTiCoCu2 crystal.

a = 4.505 Å, b = 4.443 Å, c = 4.505 Å
α = 90.00°, β = 90.00°, γ = 90.00°
Fractional positions:
Ti  0.500  0.500  0.500
Cu  0.500  0.000  0.000
Cu  0.000  0.000  0.500
Zr  0.000  0.500  0.000
Co  0.000  0.000  0.000

Results
**Total moment**: 2.0 μB per formula unit
**Energy of formation from the pure elements**: 0.611 eV/atom